Computed, not measured: a relaxed MnCuAg2 crystal at the PBE level of DFT.

The density of states at the Fermi level is 0.482 states/eV per atom. The energy of formation from the pure elements is 212 meV per atom. The energy above the most stable polymorph in this dataset comes out at 0.17 eV/f.u.

The structure belongs to space group Cm (No. 8); the cell edges are 9.383, 2.874 and 4.814 Å and the angles 90.00°, 103.30° and 90.00°. The asymmetric unit holds Mn at (0.000, 0.000, 0.000), Cu at (0.232, 0.500, 0.242), Ag at (0.245, 0.000, 0.757) and Ag at (0.482, 0.000, 0.481).